This record from the Alexandria database describes YTcSe2 after structural relaxation. The functional is PBE.

Cell: 6.4179 6.4179 6.4179 Å, 144.92 144.92 50.46°
Each line ends with the local moment (μB).
Fractional coordinates of all 4 atoms:
Y 0.7500 0.2500 0.5000  -0.03
Se 0.0000 0.0000 0.0000  0.08
Se 0.2500 0.7500 0.5000  0.07
Tc 0.5000 0.5000 0.0000  2.36

Computed properties:
Uncorrected energy ... -6.2834 eV per atom
ΔE to the lowest computed polymorph ... 1.91 eV per formula unit
Uncorrected formation energy ... -333.6 meV per atom
Calculated volume ... 86.9 Å³/cell